[1]
DFT (GGA-PBE) results for a geometry-optimized TbAlNO structure.

a b c (Å): 3.435 6.113 5.328
angles (deg): 90.00 90.00 90.00
Space group Pmc2_1 (No. 26)
Inequivalent atoms, fractional coordinates:
1 Tb 0.000 0.179 0.000 (multiplicity 2)
2 Al 0.500 0.339 0.525 (multiplicity 2)
3 N 0.500 0.393 0.866 (multiplicity 2)
4 O 0.000 0.210 0.461 (multiplicity 2)

Properties
* volume: 56 Å³/f.u.
* energy: -7.224 eV/atom
* magnetization: 1.811 μB per cell

=====

[2]
DFT (GGA-PBE) results for a geometry-optimized TbCoB4 structure.

a b c (Å): 3.145 5.306 7.225
angles (deg): 90.00 90.00 90.00
Space group Immm (No. 71)
Inequivalent atoms, fractional coordinates:
1 Tb 0.000 0.000 0.000 (multiplicity 2)
2 Co 0.000 0.000 0.500 (multiplicity 2)
3 B 0.000 0.334 0.249 (multiplicity 8)

Properties
* volume: 60 Å³/f.u.
* energy: -6.518 eV/atom
* magnetization: 2.418 μB per cell

=====

[3]
DFT (GGA-PBE) results for a geometry-optimized HoBiPt structure.

a b c (Å): 8.3711 8.3711 3.5057
angles (deg): 90.00 90.00 120.00
Space group P-62m (No. 189)
Inequivalent atoms, fractional coordinates:
1 Ho 0.0000 0.2985 0.0000 (multiplicity 3)
2 Bi 0.0000 0.0000 0.5000 (multiplicity 1)
3 Bi 0.3333 0.6667 0.0000 (multiplicity 2)
4 Pt 0.0000 0.6516 0.5000 (multiplicity 3)

Properties
* volume: 71 Å³/f.u.
* energy: -5.324 eV/atom
* magnetization: 0.006 μB per cell

=====

[4]
DFT (GGA-PBE) results for a geometry-optimized Pr2YGe3PdPt2 structure.

a b c (Å): 4.008 12.743 7.392
angles (deg): 90.00 90.00 90.00
Space group Amm2 (No. 38)
Inequivalent atoms, fractional coordinates:
1 Pr 0.000 0.205 0.000 (multiplicity 4)
2 Y 0.000 0.000 0.389 (multiplicity 2)
3 Ge 0.500 0.000 0.047 (multiplicity 2)
4 Ge 0.500 0.123 0.666 (multiplicity 4)
5 Pd 0.000 0.000 0.787 (multiplicity 2)
6 Pt 0.500 0.160 0.297 (multiplicity 4)

Properties
* volume: 189 Å³/f.u.
* energy: -6.189 eV/atom
* magnetization: 0.008 μB per cell

=====

[5]
DFT (GGA-PBE) results for a geometry-optimized KPd2F5 structure.

a b c (Å): 5.970 7.035 10.726
angles (deg): 90.00 90.00 90.00
Space group Pnma (No. 62)
Inequivalent atoms, fractional coordinates:
1 K 0.010 0.250 0.155 (multiplicity 4)
2 Pd 0.000 0.000 0.500 (multiplicity 4)
3 Pd 0.219 0.750 0.184 (multiplicity 4)
4 F 0.027 0.750 0.597 (multiplicity 4)
5 F 0.183 0.555 0.049 (multiplicity 8)
6 F 0.243 0.043 0.804 (multiplicity 8)

Properties
* volume: 113 Å³/f.u.
* energy: -4.143 eV/atom

=====

[6]
DFT (GGA-PBE) results for a geometry-optimized NdCl structure.

a b c (Å): 5.767 5.767 5.767
angles (deg): 90.00 90.00 90.00
Space group Fm-3m (No. 225)
Inequivalent atoms, fractional coordinates:
1 Nd 0.000 0.000 0.000 (multiplicity 4)
2 Cl 0.000 0.000 0.500 (multiplicity 4)

Properties
* volume: 48 Å³/f.u.
* energy: -4.542 eV/atom
* magnetization: 0.029 μB per cell